# NaTlSnPb (GGA-PBE, optimized geometry)
# Formation energy: -0.089 eV/atom
# ΔE to the lowest computed polymorph: 0.0055 eV/atom
# D(E_F): 2.41 states/eV/f.u.
# Final energy: -11.753 eV per formula unit
# SG: Pmmm
data_NaTlSnPb
_chemical_formula_sum 'Na1 Tl1 Sn1 Pb1'
_cell_length_a 4.861
_cell_length_b 4.705
_cell_length_c 4.968
_cell_angle_alpha 90.00
_cell_angle_beta 90.00
_cell_angle_gamma 90.00
_space_group_name_H-M_alt 'P 1'
_space_group_IT_number 1
loop_
_space_group_symop_operation_xyz
'x,y,z'
loop_
_atom_site_label
_atom_site_fract_x
_atom_site_fract_y
_atom_site_fract_z
Na1 0.500 0.500 0.000
Tl1 0.000 0.000 0.000
Sn1 0.000 0.500 0.500
Pb1 0.500 0.000 0.500

***

# BaSr6Mg (GGA-PBE, optimized geometry)
# Formation energy: 0.018 eV/atom
# ΔE to the lowest computed polymorph: 0.0000 eV/atom
# D(E_F): 11.04 states/eV/f.u.
# Final energy: -13.466 eV per formula unit
# SG: Amm2
data_BaSr6Mg
_chemical_formula_sum 'Ba1 Sr6 Mg1'
_cell_length_a 4.667
_cell_length_b 9.388
_cell_length_c 9.388
_cell_angle_alpha 89.92
_cell_angle_beta 90.00
_cell_angle_gamma 90.00
_space_group_name_H-M_alt 'P 1'
_space_group_IT_number 1
loop_
_space_group_symop_operation_xyz
'x,y,z'
loop_
_atom_site_label
_atom_site_fract_x
_atom_site_fract_y
_atom_site_fract_z
Ba1 0.000 0.850 0.150
Sr1 0.500 0.620 0.868
Sr2 0.500 0.132 0.380
Sr3 0.500 0.130 0.870
Sr4 0.000 0.850 0.599
Sr5 0.000 0.401 0.150
Sr6 0.000 0.400 0.600
Mg1 0.500 0.617 0.383

***

# Ce6GePb (GGA-PBE, optimized geometry)
# Formation energy: -0.337 eV/atom
# D(E_F): 22.40 states/eV/f.u.
# Final energy: -46.625 eV per formula unit
# SG: P4/mmm
data_Ce6GePb
_chemical_formula_sum 'Ce6 Ge1 Pb1'
_cell_length_a 4.724
_cell_length_b 4.724
_cell_length_c 9.428
_cell_angle_alpha 90.00
_cell_angle_beta 90.00
_cell_angle_gamma 90.00
_space_group_name_H-M_alt 'P 1'
_space_group_IT_number 1
loop_
_space_group_symop_operation_xyz
'x,y,z'
loop_
_atom_site_label
_atom_site_fract_x
_atom_site_fract_y
_atom_site_fract_z
Ce1 0.500 0.500 0.000
Ce2 0.500 0.500 0.500
Ce3 0.500 0.000 0.266
Ce4 0.500 0.000 0.734
Ce5 0.000 0.500 0.266
Ce6 0.000 0.500 0.734
Ge1 0.000 0.000 0.500
Pb1 0.000 0.000 0.000

***

# BeGaB2Os (GGA-PBE, optimized geometry)
# Formation energy: 1.217 eV/atom
# D(E_F): 2.76 states/eV/f.u.
# Final energy: -25.252 eV per formula unit
# SG: P4/mmm
data_BeGaB2Os
_chemical_formula_sum 'Be1 Ga1 B2 Os1'
_cell_length_a 3.516
_cell_length_b 4.788
_cell_length_c 3.516
_cell_angle_alpha 90.00
_cell_angle_beta 90.00
_cell_angle_gamma 90.00
_space_group_name_H-M_alt 'P 1'
_space_group_IT_number 1
loop_
_space_group_symop_operation_xyz
'x,y,z'
loop_
_atom_site_label
_atom_site_fract_x
_atom_site_fract_y
_atom_site_fract_z
Be1 0.000 0.000 0.000
B1 0.000 0.000 0.500
B2 0.500 0.000 0.000
Os1 0.000 0.500 0.000
Ga1 0.500 0.500 0.500

***

Calculated size of the total moment (μB/cell), listed in the same order as above: 0.0; 0.0; 5.1; 0.1